1.
Tb3Sm3Tm after structural relaxation. Source: the Alexandria database, functional GGA-PBE.

The space group is R-3 (No. 148, hexagonal axes) and the conventional cell measures 6.2157, 6.2157 and 42.8490 Å, with angles of 90.00, 90.00 and 120.00 degrees. The asymmetric unit holds Tb at (0.9998, 0.3332, 0.1020), Sm at (0.0000, 0.3312, 0.6317) and Tm at (0.0000, 0.0000, 0.1667).

The formation energy from the elements comes out at 0.155 eV/atom. The calculation puts the total moment at 0.0 μB per formula unit. Its total energy is -4.49 eV per atom. The value obtained for the density of states at the Fermi level is 61.7 states/eV per cell. For the density, the calculation gives 7.6 g/cm3. As for the polymorph energy (0 for the lowest one): 137 meV/atom.

2.
RbScNi2 after structural relaxation. Source: the Alexandria database, functional GGA-PBE.

The space group is Fm-3m (No. 225) and the conventional cell measures 6.848, 6.848 and 6.848 Å, with angles of 90.00, 90.00 and 90.00 degrees. The asymmetric unit holds Rb at (0.000, 0.000, 0.000), Sc at (0.000, 0.000, 0.500) and Ni at (0.250, 0.250, 0.250).

The formation energy from the elements comes out at 0.701 eV/atom. The calculation puts the total moment at 0.0 μB per formula unit. Its total energy is -4.01 eV per atom. The value obtained for the density of states at the Fermi level is 11.4 states/eV per cell. For the density, the calculation gives 5.1 g/cm3. As for the polymorph energy (0 for the lowest one): 8 meV/atom.

3.
Nd3Tm5Th2 after structural relaxation. Source: the Alexandria database, functional GGA-PBE.

The space group is C2/c (No. 15) and the conventional cell measures 10.712, 16.870 and 9.027 Å, with angles of 90.00, 126.28 and 90.00 degrees. The asymmetric unit holds Nd at (0.000, 0.225, 0.250), Nd at (0.148, 0.122, 0.042), Tm at (0.000, 0.030, 0.250), Tm at (0.000, 0.277, 0.750), Tm at (0.000, 0.467, 0.750), Tm at (0.249, 0.111, 0.751) and Th at (0.139, 0.380, 0.530).

The formation energy from the elements comes out at 0.216 eV/atom. The calculation puts the total moment at 0.0 μB per formula unit. Its total energy is -4.93 eV per atom. The value obtained for the density of states at the Fermi level is 54.8 states/eV per cell. For the density, the calculation gives 8.8 g/cm3.

4.
CsVSn2Br8 after structural relaxation. Source: the Alexandria database, functional GGA-PBE.

The space group is P-1 (No. 2) and the conventional cell measures 7.479, 7.507 and 8.368 Å, with angles of 75.80, 87.63 and 87.99 degrees. The asymmetric unit holds Cs at (0.000, 0.000, 0.000), V at (0.000, 0.500, 0.500), Sn at (0.442, 0.496, 0.261), Br at (0.076, 0.411, 0.225), Br at (0.232, 0.753, 0.415), Br at (0.247, 0.278, 0.633) and Br at (0.447, 0.760, 0.965).

The calculation puts the energy relative to the elements, uncorrected at -0.986 eV per atom. The calculation puts the total moment at 2.0 μB per formula unit. Its total energy is -3.60 eV per atom. The value obtained for the density of states at the Fermi level is 9.8 states/eV per cell. For the density, the calculation gives 3.9 g/cm3.

5.
SrAl2GeO6 after structural relaxation. Source: the Alexandria database, functional GGA-PBE.

The space group is C2/c (No. 15) and the conventional cell measures 9.866, 11.098 and 5.669 Å, with angles of 90.00, 110.71 and 90.00 degrees. The asymmetric unit holds Sr at (0.000, 0.150, 0.250), Al at (0.236, 0.080, 0.845), Ge at (0.000, 0.303, 0.750), O at (0.081, 0.372, 0.044), O at (0.132, 0.209, 0.695) and O at (0.180, 0.023, 0.087).

The calculation puts the energy relative to the elements, uncorrected at -2.639 eV per atom. The calculation puts the total moment at 0.0 μB per formula unit. Its total energy is -6.99 eV per atom. The value obtained for the density of states at the Fermi level is 0.0 states/eV per cell. For the density, the calculation gives 3.5 g/cm3.

6.
VMo4W3 after structural relaxation. Source: the Alexandria database, functional GGA-PBE.

The space group is Pmn2_1 (No. 31) and the conventional cell measures 5.113, 9.738 and 5.340 Å, with angles of 90.00, 90.00 and 90.00 degrees. The asymmetric unit holds V at (0.000, 0.123, 0.000), Mo at (0.000, 0.123, 0.500), Mo at (0.000, 0.880, 0.313), Mo at (0.248, 0.360, 0.151), W at (0.000, 0.880, 0.812) and W at (0.250, 0.364, 0.653).

The formation energy from the elements comes out at 0.603 eV/atom. The calculation puts the total moment at 0.0 μB per formula unit. Its total energy is -10.81 eV per atom. The value obtained for the density of states at the Fermi level is 15.6 states/eV per cell. For the density, the calculation gives 12.3 g/cm3. As for the polymorph energy (0 for the lowest one): 670 meV/atom.

7.
CaInBr2 after structural relaxation. Source: the Alexandria database, functional GGA-PBE.

The space group is P1 (No. 1) and the conventional cell measures 4.172, 8.524 and 8.984 Å, with angles of 70.46, 89.96 and 89.91 degrees. The asymmetric unit holds Ca at (0.000, 0.000, 0.000), Ca at (0.500, 0.098, 0.524), In at (0.495, 0.684, 0.478), In at (0.996, 0.430, 0.481), Br at (0.000, 0.109, 0.279), Br at (0.000, 0.893, 0.722), Br at (0.499, 0.229, 0.831) and Br at (0.500, 0.755, 0.125).

The calculation puts the energy relative to the elements, uncorrected at -1.261 eV per atom. The calculation puts the total moment at 0.0 μB per formula unit. Its total energy is -3.28 eV per atom. The value obtained for the density of states at the Fermi level is 1.8 states/eV per cell. For the density, the calculation gives 3.5 g/cm3. As for the polymorph energy (0 for the lowest one): 17 meV/atom.

8.
Cs2SbPbBr6 after structural relaxation. Source: the Alexandria database, functional GGA-PBE.

The space group is I4/mmm (No. 139) and the conventional cell measures 8.348, 8.348 and 11.870 Å, with angles of 90.00, 90.00 and 90.00 degrees. The asymmetric unit holds Cs at (0.000, 0.500, 0.250), Sb at (0.000, 0.000, 0.000), Pb at (0.000, 0.000, 0.500), Br at (0.000, 0.000, 0.245) and Br at (0.245, 0.245, 0.000).

The calculation puts the energy relative to the elements, uncorrected at -1.094 eV per atom. The calculation puts the total moment at 0.0 μB per formula unit. Its total energy is -3.05 eV per atom. The value obtained for the density of states at the Fermi level is 9.7 states/eV per cell. For the density, the calculation gives 4.3 g/cm3.

9.
MnZnS2 after structural relaxation. Source: the Alexandria database, functional GGA-PBE.

The space group is P3m1 (No. 156) and the conventional cell measures 3.9105, 3.9105 and 6.4030 Å, with angles of 90.00, 90.00 and 120.00 degrees. The asymmetric unit holds Mn at (0.0000, 0.0000, 0.0000), Zn at (0.6667, 0.3333, 0.5026), S at (0.0000, 0.0000, 0.6230) and S at (0.6667, 0.3333, 0.1343).

The calculation puts the energy relative to the elements, uncorrected at -0.655 eV per atom. The calculation puts the total moment at 5.0 μB per formula unit. Its total energy is -5.33 eV per atom. For the density, the calculation gives 3.6 g/cm3.

10.
LaZnBAu2 after structural relaxation. Source: the Alexandria database, functional GGA-PBE.

The space group is P4/mmm (No. 123) and the conventional cell measures 4.742, 4.742 and 5.706 Å, with angles of 90.00, 90.00 and 90.00 degrees. The asymmetric unit holds La at (0.000, 0.000, 0.000), Zn at (0.000, 0.000, 0.500), B at (0.500, 0.500, 0.000) and Au at (0.000, 0.500, 0.500).

The formation energy from the elements comes out at 0.830 eV/atom. The calculation puts the total moment at 0.9 μB per formula unit. Its total energy is -3.06 eV per atom. The value obtained for the density of states at the Fermi level is 4.1 states/eV per cell. For the density, the calculation gives 7.9 g/cm3.

11.
BeReAg after structural relaxation. Source: the Alexandria database, functional GGA-PBE.

The space group is I4mm (No. 107) and the conventional cell measures 2.656, 2.656 and 11.635 Å, with angles of 90.00, 90.00 and 90.00 degrees. The asymmetric unit holds Be at (0.000, 0.000, 0.000), Re at (0.000, 0.000, 0.356) and Ag at (0.000, 0.000, 0.657).

The formation energy from the elements comes out at 0.338 eV/atom. The calculation puts the total moment at 0.0 μB per formula unit. Its total energy is -6.00 eV per atom. The value obtained for the density of states at the Fermi level is 1.0 states/eV per cell. For the density, the calculation gives 12.3 g/cm3. As for the polymorph energy (0 for the lowest one): 4 meV/atom.

12.
CoReSi2 after structural relaxation. Source: the Alexandria database, functional GGA-PBE.

The space group is P4mm (No. 99) and the conventional cell measures 2.648, 2.648 and 7.369 Å, with angles of 90.00, 90.00 and 90.00 degrees. The asymmetric unit holds Co at (0.000, 0.000, 0.000), Re at (0.500, 0.500, 0.243), Si at (0.000, 0.000, 0.507) and Si at (0.500, 0.500, 0.787).

The calculation puts the energy relative to the elements, uncorrected at 0.076 eV per atom. The calculation puts the total moment at 0.0 μB per formula unit. Its total energy is -7.52 eV per atom. The value obtained for the density of states at the Fermi level is 2.5 states/eV per cell. For the density, the calculation gives 9.7 g/cm3. As for the polymorph energy (0 for the lowest one): 365 meV/atom.

- What is the formula in the fourth record?
  CsVSn2Br8